DFT (PBE) results for a geometry-optimized RePt structure.

```
4
Lattice="4.446 0.000 0.000 2.223 3.850 0.000 2.223 1.283 3.630" Properties=species:S:1:pos:R:3 pbc="T T T"
Pt 0.000 0.000 0.000
Pt 2.223 1.283 0.908
Re 6.669 3.850 2.723
Re 4.446 2.567 1.815
```

The value obtained for the energy above the lowest structure with this stoichiometry is 440 meV/atom.

***

DFT (PBE) results for a geometry-optimized RePt structure.

```
4
Lattice="-3.292 0.301 -0.258 -0.362 -1.405 2.981 0.274 5.066 2.422" Properties=species:S:1:pos:R:3 pbc="T T T"
Pt 0.000 0.002 0.001
Pt -1.759 0.712 1.966
Re 0.139 2.564 1.226
Re -1.623 3.216 3.163
```

The value obtained for the energy above the lowest structure with this stoichiometry is 261 meV/atom.

***

DFT (PBE) results for a geometry-optimized RePt2 structure.

```
3
Lattice="-0.085 2.148 -3.924 -3.392 0.467 2.881 1.233 2.084 1.114" Properties=species:S:1:pos:R:3 pbc="T T T"
Re 0.616 1.042 0.557
Pt -1.188 1.588 -1.656
Pt -2.290 1.027 0.612
```

The value obtained for the energy above the lowest structure with this stoichiometry is 207 meV/atom.

***

DFT (PBE) results for a geometry-optimized RePt4 structure.

```
5
Lattice="4.811 1.762 4.956 5.001 4.980 1.002 -6.627 -1.872 -1.842" Properties=species:S:1:pos:R:3 pbc="T T T"
Re 0.000 0.000 0.000
Pt 1.545 1.631 3.047
Pt 5.844 4.016 3.549
Pt 3.967 2.726 2.409
Pt 1.640 3.240 1.070
```

The value obtained for the energy above the lowest structure with this stoichiometry is 687 meV/atom.